Material: SmFe6Ge6
Method: DFT, PBE
State: relaxed

a b c (Å): 5.138 8.192 8.881
angles (deg): 90.00 90.00 90.00
Space group Immm (No. 71)
Asymmetric unit:
1 Sm 0.000 0.000 0.000 (multiplicity 2)
2 Fe 0.000 0.248 0.500 (multiplicity 4)
3 Fe 0.250 0.250 0.250 (multiplicity 8)
4 Ge 0.000 0.000 0.338 (multiplicity 4)
5 Ge 0.000 0.348 0.000 (multiplicity 4)
6 Ge 0.000 0.500 0.328 (multiplicity 4)


Material: SmFe3Ge3
Method: DFT, PBE
State: relaxed

Summary:
- Energy above the lowest structure with this stoichiometry: 0.0000 eV per atom

a b c (Å): 8.2638 8.2638 4.0627
angles (deg): 90.00 90.00 120.00
Space group P6_3/m (No. 176)
Asymmetric unit:
1 Sm 0.3333 0.6667 0.2500 (multiplicity 2)
2 Fe 0.0536 0.8576 0.2500 (multiplicity 6)
3 Ge 0.0922 0.7145 0.7500 (multiplicity 6)


Material: SmFe9Ge4
Method: DFT, PBE
State: relaxed

a b c (Å): 8.057 8.057 11.831
angles (deg): 90.00 90.00 90.00
Space group I4/mcm (No. 140)
Asymmetric unit:
1 Sm 0.000 0.000 0.250 (multiplicity 4)
2 Fe 0.000 0.500 0.000 (multiplicity 4)
3 Fe 0.063 0.200 0.000 (multiplicity 16)
4 Fe 0.113 0.387 0.175 (multiplicity 16)
5 Ge 0.181 0.319 0.373 (multiplicity 16)


Material: SmFe2Ge2
Method: DFT, PBE
State: relaxed

a b c (Å): 3.991 3.991 10.763
angles (deg): 90.00 90.00 90.00
Space group I4/mmm (No. 139)
Asymmetric unit:
1 Sm 0.000 0.000 0.000 (multiplicity 2)
2 Fe 0.000 0.500 0.250 (multiplicity 4)
3 Ge 0.000 0.000 0.381 (multiplicity 4)


Material: SmFeGe
Method: DFT, PBE
State: relaxed

a b c (Å): 4.1986 4.1986 3.9496
angles (deg): 90.00 90.00 120.00
Space group P-6m2 (No. 187)
Asymmetric unit:
1 Sm 0.0000 0.0000 0.0000 (multiplicity 1)
2 Fe 0.6667 0.3333 0.5000 (multiplicity 1)
3 Ge 0.3333 0.6667 0.5000 (multiplicity 1)


Material: SmFe12Ge6
Method: DFT, PBE
State: relaxed

a b c (Å): 10.6572 10.6572 8.4054
angles (deg): 90.00 90.00 120.00
Space group R-3m (No. 166, hexagonal axes)
Asymmetric unit:
1 Sm 0.0000 0.0000 0.0000 (multiplicity 3)
2 Fe 0.0000 0.3859 0.5000 (multiplicity 18)
3 Fe 0.0949 0.1899 0.3248 (multiplicity 18)
4 Ge 0.0310 0.5155 0.2603 (multiplicity 18)


Material: SmFeTcGe3
Method: DFT, PBE
State: relaxed

a b c (Å): 7.630 10.894 5.706
angles (deg): 90.00 90.00 90.00
Space group Cmcm (No. 63)
Asymmetric unit:
1 Sm 0.000 0.242 0.250 (multiplicity 4)
2 Fe 0.000 0.035 0.750 (multiplicity 4)
3 Tc 0.000 0.450 0.750 (multiplicity 4)
4 Ge 0.000 0.237 0.750 (multiplicity 4)
5 Ge 0.241 0.000 0.000 (multiplicity 8)


Material: FeSnGe3
Method: DFT, PBE
State: relaxed

Summary:
- Energy above the lowest structure with this stoichiometry: 0.0000 eV per atom

a b c (Å): 4.644 4.644 4.644
angles (deg): 90.00 90.00 90.00
Space group Pm-3m (No. 221)
Asymmetric unit:
1 Fe 0.000 0.000 0.000 (multiplicity 1)
2 Sn 0.500 0.500 0.500 (multiplicity 1)
3 Ge 0.000 0.000 0.500 (multiplicity 3)


Material: Fe2SnGe
Method: DFT, PBE
State: relaxed

Summary:
- Energy above the lowest structure with this stoichiometry: 0.2615 eV per atom

a b c (Å): 7.014 7.014 5.506
angles (deg): 90.00 90.00 90.00
Space group I-42d (No. 122)
Asymmetric unit:
1 Fe 0.207 0.250 0.125 (multiplicity 8)
2 Sn 0.000 0.000 0.500 (multiplicity 4)
3 Ge 0.000 0.000 0.000 (multiplicity 4)


Material: Fe2SnGe
Method: DFT, PBE
State: relaxed

Summary:
- Energy above the lowest structure with this stoichiometry: 0.0000 eV per atom

a b c (Å): 6.026 6.026 6.026
angles (deg): 90.00 90.00 90.00
Space group Fm-3m (No. 225)
Asymmetric unit:
1 Fe 0.250 0.250 0.250 (multiplicity 8)
2 Sn 0.000 0.000 0.000 (multiplicity 4)
3 Ge 0.000 0.000 0.500 (multiplicity 4)


Number 1: formation energy -0.264 eV/atom, density of states at the Fermi level 16.582 states/eV per cell, total moment 11.7 μB per formula unit. Number 2: formation energy -0.260 eV/atom, density of states at the Fermi level 9.092 states/eV per cell, total moment 3.3 μB per formula unit. Number 3: formation energy -0.201 eV/atom, density of states at the Fermi level 50.452 states/eV per cell, total moment 17.1 μB per formula unit. Number 4: formation energy -0.447 eV/atom, density of states at the Fermi level 7.385 states/eV per cell, total moment 4.6 μB per formula unit. Number 5: formation energy -0.378 eV/atom, density of states at the Fermi level 4.160 states/eV per cell, total moment 1.8 μB per formula unit. Number 6: formation energy 0.003 eV/atom, density of states at the Fermi level 47.043 states/eV per cell, total moment 26.0 μB per formula unit. Number 7: formation energy -0.185 eV/atom, density of states at the Fermi level 12.936 states/eV per cell, total moment 0.3 μB per formula unit. Number 8: formation energy 0.248 eV/atom, density of states at the Fermi level 5.091 states/eV per cell, total moment 0.0 μB per formula unit. Number 9: formation energy 0.487 eV/atom, density of states at the Fermi level 14.821 states/eV per cell, total moment 4.4 μB per formula unit. Number 10: formation energy 0.226 eV/atom, density of states at the Fermi level 2.657 states/eV per cell, total moment 0.0 μB per formula unit.